# 1
Ca2GaTcBr | PBE | optimized geometry Values from VASP.

Values from the calculation:
Fermi-level density of states ... 4.9 states/eV per cell

Geometry as Quantum ESPRESSO input:
```
&SYSTEM
  ibrav = 0, nat = 5, ntyp = 4
/
ATOMIC_SPECIES
Ga 69.72 Ga.upf
Ca 40.08 Ca.upf
Tc 98.00 Tc.upf
Br 79.90 Br.upf
ATOMIC_POSITIONS crystal
Ga 0.000 0.000 0.000
Ca 0.000 0.000 0.500
Ca 0.500 0.000 0.000
Tc 0.000 0.500 0.000
Br 0.500 0.500 0.500
CELL_PARAMETERS angstrom
5.788 0.000 0.000
0.000 4.658 0.000
0.000 0.000 5.788
```

***

# 2
CaGa2TcBr | PBE | optimized geometry Values from VASP.

Values from the calculation:
Fermi-level density of states ... 3.3 states/eV per cell

Geometry as Quantum ESPRESSO input:
```
&SYSTEM
  ibrav = 0, nat = 5, ntyp = 4
/
ATOMIC_SPECIES
Ga 69.72 Ga.upf
Ca 40.08 Ca.upf
Tc 98.00 Tc.upf
Br 79.90 Br.upf
ATOMIC_POSITIONS crystal
Ga 0.000 0.000 0.500
Ga 0.500 0.000 0.000
Ca 0.500 0.500 0.500
Tc 0.000 0.500 0.000
Br 0.000 0.000 0.000
CELL_PARAMETERS angstrom
-0.288 -4.277 3.268
3.953 1.416 2.201
-2.962 2.859 3.480
```

***

# 3
CaGa2TeBr | PBE | optimized geometry Values from VASP.

Values from the calculation:
Fermi-level density of states ... 3.2 states/eV per cell

Geometry as Quantum ESPRESSO input:
```
&SYSTEM
  ibrav = 0, nat = 5, ntyp = 4
/
ATOMIC_SPECIES
Ca 40.08 Ca.upf
Te 127.60 Te.upf
Ga 69.72 Ga.upf
Br 79.90 Br.upf
ATOMIC_POSITIONS crystal
Ca 0.000 0.000 0.000
Te 0.500 0.500 0.500
Ga 0.000 0.000 0.500
Ga 0.500 0.000 0.000
Br 0.000 0.500 0.000
CELL_PARAMETERS angstrom
5.982 0.000 0.000
0.000 5.174 0.000
0.000 0.000 5.982
```

***

# 4
CaTlGa2Br | PBE | optimized geometry Values from VASP.

Values from the calculation:
Fermi-level density of states ... 3.2 states/eV per cell

Geometry as Quantum ESPRESSO input:
```
&SYSTEM
  ibrav = 0, nat = 5, ntyp = 4
/
ATOMIC_SPECIES
Tl 204.38 Tl.upf
Ca 40.08 Ca.upf
Ga 69.72 Ga.upf
Br 79.90 Br.upf
ATOMIC_POSITIONS crystal
Tl 0.500 0.500 0.500
Ca 0.000 0.500 0.000
Ga 0.000 0.000 0.500
Ga 0.500 0.000 0.000
Br 0.000 0.000 0.000
CELL_PARAMETERS angstrom
-3.758 -4.075 0.470
3.360 -2.717 3.313
-2.245 2.577 4.390
```

***

# 5
CaTl2GaBr5 | PBE | optimized geometry Values from VASP.

Values from the calculation:
Fermi-level density of states ... 0.0 states/eV per cell

Geometry as Quantum ESPRESSO input:
```
&SYSTEM
  ibrav = 0, nat = 18, ntyp = 4
/
ATOMIC_SPECIES
Ca 40.08 Ca.upf
Tl 204.38 Tl.upf
Ga 69.72 Ga.upf
Br 79.90 Br.upf
ATOMIC_POSITIONS crystal
Ca 0.764 0.527 0.534
Ca 0.236 0.473 0.034
Tl 0.872 0.744 0.796
Tl 0.076 0.152 0.644
Tl 0.128 0.256 0.296
Tl 0.924 0.848 0.144
Ga 0.556 0.113 0.951
Ga 0.444 0.887 0.451
Br 0.380 0.761 0.986
Br 0.707 0.414 0.911
Br 0.495 0.990 0.767
Br 0.248 0.496 0.660
Br 0.910 0.820 0.575
Br 0.620 0.239 0.486
Br 0.293 0.586 0.411
Br 0.505 0.010 0.267
Br 0.752 0.504 0.160
Br 0.090 0.180 0.075
CELL_PARAMETERS angstrom
4.380 0.000 0.000
-2.190 9.700 0.000
0.000 0.000 15.518
```

***

# 6
CaGaWBr2 | PBE | optimized geometry Values from VASP.

Values from the calculation:
Fermi-level density of states ... 4.0 states/eV per cell

Geometry as Quantum ESPRESSO input:
```
&SYSTEM
  ibrav = 0, nat = 5, ntyp = 4
/
ATOMIC_SPECIES
Ga 69.72 Ga.upf
Ca 40.08 Ca.upf
Br 79.90 Br.upf
W 183.84 W.upf
ATOMIC_POSITIONS crystal
Ga 0.000 0.500 0.000
Ca 0.500 0.500 0.500
Br 0.000 0.000 0.500
Br 0.500 0.000 0.000
W 0.000 0.000 0.000
CELL_PARAMETERS angstrom
5.116 0.000 0.000
0.000 5.109 0.000
0.000 0.000 5.116
```

***

# 7
CaGdBr2 | PBE | optimized geometry Values from VASP.

Values from the calculation:
Fermi-level density of states ... 7.6 states/eV per cell

Geometry as Quantum ESPRESSO input:
```
&SYSTEM
  ibrav = 0, nat = 4, ntyp = 3
/
ATOMIC_SPECIES
Ca 40.08 Ca.upf
Gd 157.25 Gd.upf
Br 79.90 Br.upf
ATOMIC_POSITIONS crystal
Ca 0.500 0.500 0.500
Gd 0.000 0.000 0.000
Br 0.107 0.107 0.680
Br 0.893 0.893 0.320
CELL_PARAMETERS angstrom
-0.303 3.608 -1.640
-2.006 0.476 -3.399
-8.933 2.969 3.363
```

***

# 8
CaGe2Br6 | PBE | optimized geometry Values from VASP.

Values from the calculation:
Fermi-level density of states ... 0.0 states/eV per cell
Energy above the most stable polymorph in this dataset ... 0.000 eV per atom

Geometry as Quantum ESPRESSO input:
```
&SYSTEM
  ibrav = 0, nat = 9, ntyp = 3
/
ATOMIC_SPECIES
Ca 40.08 Ca.upf
Ge 72.64 Ge.upf
Br 79.90 Br.upf
ATOMIC_POSITIONS crystal
Ca 0.000 0.000 0.500
Ge 0.668 0.337 0.837
Ge 0.332 0.663 0.163
Br 0.306 0.611 0.886
Br 0.694 0.389 0.114
Br 0.969 0.938 0.213
Br 0.642 0.285 0.559
Br 0.031 0.062 0.787
Br 0.358 0.715 0.441
CELL_PARAMETERS angstrom
4.143 0.000 0.000
-2.072 7.089 -2.690
0.000 0.197 10.623
```

***

# 9
Ca3GeBr | PBE | optimized geometry Values from VASP.

Values from the calculation:
Fermi-level density of states ... 3.4 states/eV per cell
Energy above the most stable polymorph in this dataset ... 0.000 eV per atom

Geometry as Quantum ESPRESSO input:
```
&SYSTEM
  ibrav = 0, nat = 5, ntyp = 3
/
ATOMIC_SPECIES
Ge 72.64 Ge.upf
Ca 40.08 Ca.upf
Br 79.90 Br.upf
ATOMIC_POSITIONS crystal
Ge 0.000 0.000 0.000
Ca 0.000 0.500 0.000
Ca 0.000 0.000 0.500
Ca 0.500 0.000 0.000
Br 0.500 0.500 0.500
CELL_PARAMETERS angstrom
5.727 0.000 0.000
0.000 5.727 0.000
0.000 0.000 5.727
```

***

# 10
CaGe2Br8 | PBE | optimized geometry Values from VASP.

Geometry as Quantum ESPRESSO input:
```
&SYSTEM
  ibrav = 0, nat = 11, ntyp = 3
/
ATOMIC_SPECIES
Ca 40.08 Ca.upf
Ge 72.64 Ge.upf
Br 79.90 Br.upf
ATOMIC_POSITIONS crystal
Ca 0.000 0.000 0.000
Ge 0.692 0.783 0.783
Ge 0.308 0.217 0.217
Br 0.223 0.280 0.933
Br 0.777 0.067 0.720
Br 0.309 0.806 0.806
Br 0.691 0.194 0.194
Br 0.223 0.933 0.280
Br 0.777 0.720 0.067
Br 0.884 0.598 0.598
Br 0.116 0.402 0.402
CELL_PARAMETERS angstrom
6.672 0.500 0.379
0.658 8.500 -0.378
0.658 1.925 8.288
```

***

# 11
Ca3GeBr3 | PBE | optimized geometry Values from VASP.

Values from the calculation:
Fermi-level density of states ... 10.4 states/eV per cell

Geometry as Quantum ESPRESSO input:
```
&SYSTEM
  ibrav = 0, nat = 28, ntyp = 3
/
ATOMIC_SPECIES
Ca 40.08 Ca.upf
Ge 72.64 Ge.upf
Br 79.90 Br.upf
ATOMIC_POSITIONS crystal
Ca 0.995 0.498 0.248
Ca 0.502 0.005 0.252
Ca 0.250 0.002 0.498
Ca 0.998 0.750 0.002
Ca 0.998 0.248 0.495
Ca 0.752 0.002 0.005
Ca 0.748 0.495 0.498
Ca 0.752 0.750 0.248
Ca 0.505 0.252 0.002
Ca 0.250 0.248 0.252
Ca 0.748 0.252 0.750
Ca 0.502 0.498 0.750
Ge 0.750 0.500 0.000
Ge 0.500 0.250 0.500
Ge 0.750 0.250 0.250
Ge 0.000 0.000 0.250
Br 0.250 0.000 0.999
Br 0.750 0.750 0.750
Br 0.499 0.750 0.000
Br 0.000 0.250 0.000
Br 0.250 0.750 0.250
Br 0.500 0.500 0.250
Br 0.250 0.250 0.750
Br 0.250 0.501 0.500
Br 0.750 0.000 0.500
Br 0.001 0.500 0.750
Br 0.000 0.750 0.501
Br 0.500 0.999 0.750
CELL_PARAMETERS angstrom
-5.157 -5.711 -7.050
7.733 -5.685 4.098
-6.556 2.927 7.574
```

***

# 12
CaGe2Br | PBE | optimized geometry Values from VASP.

Values from the calculation:
Fermi-level density of states ... 4.7 states/eV per cell
Energy above the most stable polymorph in this dataset ... 0.000 eV per atom

Geometry as Quantum ESPRESSO input:
```
&SYSTEM
  ibrav = 0, nat = 8, ntyp = 3
/
ATOMIC_SPECIES
Ge 72.64 Ge.upf
Ca 40.08 Ca.upf
Br 79.90 Br.upf
ATOMIC_POSITIONS crystal
Ge 0.617 0.125 0.250
Ge 0.133 0.625 0.250
Ge 0.375 0.383 0.750
Ge 0.875 0.867 0.750
Ca 0.500 0.500 0.000
Ca 0.250 0.750 0.500
Br 0.000 0.000 0.000
Br 0.750 0.250 0.500
CELL_PARAMETERS angstrom
9.869 0.000 0.000
0.000 9.869 0.000
4.935 4.935 2.616
```

***

| no. | E_form (uncorrected) (eV per atom) | density (g cm⁻³) |
| --- | --- | --- |
| 1 | 0.103 | 3.489 |
| 2 | 0.686 | 4.308 |
| 3 | 0.019 | 3.471 |
| 4 | 0.012 | 4.570 |
| 5 | -1.163 | 4.625 |
| 6 | 0.237 | 5.631 |
| 7 | -1.136 | 4.454 |
| 8 | -1.052 | 3.513 |
| 9 | -0.603 | 2.412 |
| 10 | -0.870 | 2.911 |
| 11 | -1.463 | 3.284 |
| 12 | -0.125 | 3.458 |